{
  "formula": "Li2HRu",
  "functional": "PBE-GGA",
  "state": "relaxed",
  "lattice": [[0.000, 2.821, 2.821], [2.821, 0.000, 2.821], [2.821, 2.821, 0.000]],
  "species": ["Li", "Li", "H", "Ru"],
  "fractional_positions": [[0.250, 0.250, 0.250], [0.750, 0.750, 0.750], [0.000, 0.000, 0.000], [0.500, 0.500, 0.500]],
  "e_tot_ev_per_atom": -3.21
}